Entry from the Alexandria database: a relaxed structure of PuHfBi2 (PBE-GGA).

abc: 3.3972 3.3972 34.4631
angles: 90.00 90.00 120.00
Space group R-3m (No. 166, hexagonal axes)
Symmetry-distinct sites (fractional):
Pu1 0.0000 0.0000 0.0000
Hf1 0.0000 0.0000 0.5000
Bi1 0.0000 0.0000 0.0956

Summary:
Offset from the most stable computed form in meV per atom: 254
Formation enthalpy at 0 K in eV per atom: 0.10
Total energy in eV per atom: -7.912
D(E_F) in states/eV per atom: 2.349

Entry from the Alexandria database: a relaxed structure of Ho3Er2Ga2 (PBE-GGA).

abc: 12.930 3.688 8.725
angles: 90.00 114.41 90.00
Space group C2/m (No. 12)
Symmetry-distinct sites (fractional):
Ho1 0.000 0.000 0.000
Ho2 0.112 0.000 0.438
Er1 0.144 0.500 0.809
Ga1 0.185 0.500 0.217

Summary:
Formation enthalpy at 0 K in eV per atom: -0.33
Total energy in eV per atom: -4.461
D(E_F) in states/eV per atom: 0.963